1.
{
  "formula": "La8YHo4",
  "functional": "PBE",
  "state": "optimized geometry",
  "lattice_angstrom": [[6.3624, -0.0004, -3.4324], [-4.1069, 5.9493, -0.0005], [1.6706, 1.1541, 10.7091]],
  "species": ["La", "La", "La", "La", "La", "La", "La", "La", "Ho", "Ho", "Ho", "Ho", "Y"],
  "fractional_positions": [[0.9608, 0.7537, 0.7145], [0.5074, 0.7537, 0.7145], [0.4926, 0.2463, 0.2855], [0.4190, 0.2095, 0.6284], [0.5810, 0.7905, 0.3716], [0.9608, 0.2071, 0.7145], [0.0392, 0.2463, 0.2855], [0.0392, 0.7929, 0.2855], [0.5000, 0.0000, 0.0000], [0.0000, 0.0000, 0.0000], [0.5000, 0.5000, 0.0000], [0.0000, 0.5000, 0.0000], [0.0000, 0.5000, 0.5000]],
  "formation_enthalpy_0k_ev_per_fu": 2.20,
  "space_group": "R-3m"
}

---

2.
{
  "formula": "La3Y5Ho4",
  "functional": "PBE",
  "state": "optimized geometry",
  "lattice_angstrom": [[6.9160, 0.0006, 1.9696], [-5.4817, 7.1423, -6.9623], [4.0747, -3.4949, 11.8246]],
  "species": ["Y", "Y", "Y", "Y", "Y", "Ho", "Ho", "Ho", "Ho", "La", "La", "La"],
  "fractional_positions": [[0.2521, 0.4979, 0.9979], [0.5000, 0.0000, 0.5000], [0.6662, 0.3316, 0.1649], [0.3338, 0.6684, 0.8351], [0.7479, 0.5021, 0.0021], [0.1647, 0.3316, 0.1654], [0.8353, 0.6684, 0.8346], [0.0810, 0.1628, 0.3301], [0.9190, 0.8372, 0.6699], [0.0000, 0.0000, 0.5000], [0.4126, 0.8303, 0.6641], [0.5874, 0.1697, 0.3359]],
  "formation_enthalpy_0k_ev_per_fu": 0.33,
  "space_group": "P-1"
}

---

3.
{
  "formula": "LaY6Ho4",
  "functional": "PBE",
  "state": "optimized geometry",
  "lattice_angstrom": [[-2.6686, 3.8253, -3.2982], [-1.9795, -1.2067, 5.1490], [14.5743, 18.7960, 10.0081]],
  "species": ["Ho", "Ho", "Ho", "Ho", "Ho", "Ho", "Ho", "Ho", "La", "La", "Y", "Y", "Y", "Y", "Y", "Y", "Y", "Y", "Y", "Y", "Y", "Y"],
  "fractional_positions": [[0.5150, 0.0299, 0.8788], [0.1623, 0.3246, 0.4587], [0.5150, 0.0299, 0.6212], [0.8377, 0.6754, 0.5413], [0.1623, 0.3246, 0.0413], [0.4850, 0.9701, 0.1212], [0.4850, 0.9701, 0.3788], [0.8377, 0.6754, 0.9587], [0.8233, 0.6465, 0.2500], [0.1767, 0.3535, 0.7500], [0.8216, 0.6433, 0.1002], [0.5000, 0.0000, 0.5000], [0.5000, 0.0000, 0.0000], [0.5109, 0.0218, 0.7500], [0.4891, 0.9782, 0.2500], [0.8216, 0.6433, 0.3998], [0.8457, 0.6914, 0.6797], [0.1784, 0.3567, 0.6002], [0.1543, 0.3086, 0.3203], [0.1784, 0.3567, 0.8998], [0.8457, 0.6914, 0.8203], [0.1543, 0.3086, 0.1797]],
  "formation_enthalpy_0k_ev_per_fu": 1.29,
  "space_group": "Cmcm"
}

---

4.
{
  "formula": "LaY6Ho3",
  "functional": "PBE",
  "state": "optimized geometry",
  "lattice_angstrom": [[-3.2255, 9.3345, -0.0942], [-9.6745, 1.8754, -0.6579], [-4.5762, 3.6806, 3.6508]],
  "species": ["Ho", "Ho", "Ho", "Y", "Y", "Y", "Y", "Y", "Y", "La"],
  "fractional_positions": [[0.3967, 0.3967, 0.8098], [0.1479, 0.1479, 0.5564], [0.6410, 0.6410, 0.0770], [0.9044, 0.5667, 0.2933], [0.4047, 0.7304, 0.7921], [0.2357, 0.9044, 0.2933], [0.7304, 0.0728, 0.7921], [0.5667, 0.2357, 0.2933], [0.0728, 0.4047, 0.7921], [0.8998, 0.8998, 0.3007]],
  "formation_enthalpy_0k_ev_per_fu": 2.58,
  "space_group": "R3"
}

---

5.
{
  "formula": "La2Y3Ho7",
  "functional": "PBE",
  "state": "optimized geometry",
  "lattice_angstrom": [[-2.9626, -1.8422, -0.5137], [-0.6105, -0.7717, 6.2884], [-9.7239, 14.1450, 5.3539]],
  "species": ["Ho", "Ho", "Ho", "Ho", "Ho", "Ho", "Ho", "Y", "Y", "Y", "La", "La"],
  "fractional_positions": [[0.0000, 0.4378, 0.8379], [0.5000, 0.0628, 0.1649], [0.5000, 0.9372, 0.8351], [0.5000, 0.2417, 0.5013], [0.0000, 0.0000, 0.0000], [0.5000, 0.7583, 0.4987], [0.0000, 0.5622, 0.1621], [0.0000, 0.1113, 0.3424], [0.5000, 0.5000, 0.0000], [0.0000, 0.8887, 0.6576], [0.5000, 0.3849, 0.6728], [0.5000, 0.6151, 0.3272]],
  "formation_enthalpy_0k_ev_per_fu": 1.01,
  "space_group": "P2/m"
}

---

6.
{
  "formula": "La2Y2Ho",
  "functional": "PBE",
  "state": "optimized geometry",
  "lattice_angstrom": [[-5.6940, -6.1409, 3.1113], [4.4831, 0.8265, 4.7494], [-2.9619, 5.8026, 0.9458]],
  "species": ["La", "La", "La", "La", "Y", "Y", "Y", "Y", "Ho", "Ho"],
  "fractional_positions": [[0.8609, 0.7529, 0.9272], [0.3609, 0.9272, 0.7529], [0.6391, 0.0728, 0.2471], [0.1391, 0.2471, 0.0728], [0.5000, 0.5000, 0.5000], [0.0000, 0.5000, 0.5000], [0.5000, 0.5000, 0.0000], [0.0000, 0.0000, 0.5000], [0.7500, 0.2062, 0.7938], [0.2500, 0.7938, 0.2062]],
  "formation_enthalpy_0k_ev_per_fu": 1.17,
  "space_group": "C2/c"
}